No. 1
Computed, not measured: a relaxed structure of CaMgAgIr at the PBE level of DFT.

As for the formation enthalpy at 0 K: -0.210 eV/atom. For the total magnetic moment, the calculation gives 0.00 μB per cell. For the density of states at the Fermi level, the calculation gives 0.2426 states/eV per atom.

The structure belongs to space group F-43m (No. 216); the cell edges are 6.763, 6.763 and 6.763 Å and the angles 90.00°, 90.00° and 90.00°. The distinct sites, in fractional coordinates, are Ca at (0.000, 0.000, 0.000), Mg at (0.000, 0.000, 0.500), Ag at (0.250, 0.250, 0.750) and Ir at (0.250, 0.250, 0.250).


No. 2
Computed, not measured: a relaxed structure of Ca2AgIrN at the PBE level of DFT.

For the uncorrected formation energy, the calculation gives 0.0 eV per formula unit. For the total magnetic moment, the calculation gives 0.93 μB per cell. For the density of states at the Fermi level, the calculation gives 0.6721 states/eV per atom.

The structure belongs to space group P4/mmm (No. 123); the cell edges are 4.818, 4.818 and 4.158 Å and the angles 90.00°, 90.00° and 90.00°. The distinct sites, in fractional coordinates, are Ca at (0.000, 0.500, 0.000), Ag at (0.000, 0.000, 0.500), Ir at (0.500, 0.500, 0.500) and N at (0.000, 0.000, 0.000).


no.,VASP energy (Ha/atom)
1,-0.1484
2,-0.1769